The following is a PBE calculation of PmMnPb2 after structural relaxation, from Alexandria.

Properties
- SG = No. 2
- magnetization (μB per formula unit) = 3.3
- E_form (eV per atom) = -0.06
- calculated total energy (eV per formula unit) = -21.576

```
4
Lattice="-2.9393 2.6507 2.3328 -3.7127 -2.0298 2.0904 0.6540 -0.6364 6.1200" Properties=species:S:1:pos:R:3 pbc="T T T"
Pb 0.4887 -0.5827 5.8437
Pb -2.8337 -0.0614 5.5478
Mn -4.4984 -0.0116 7.9074
Pm -1.4995 -0.0039 2.6358
```

The following is a PBE calculation of PmMnPb2 after structural relaxation, from Alexandria.

Properties
- SG = No. 123
- magnetization (μB per formula unit) = 4.1
- E_form (eV per atom) = -0.06
- calculated total energy (eV per formula unit) = -21.590

```
4
Lattice="-1.9575 2.8438 2.9542 -4.2496 -0.8117 -2.0345 -0.7455 -3.6394 3.0093" Properties=species:S:1:pos:R:3 pbc="T T T"
Pb -0.3728 -1.8197 1.5047
Pb -2.1248 -0.4058 -1.0172
Mn -3.4763 -0.8037 1.9645
Pm -0.9787 1.4219 1.4771
```

The following is a PBE calculation of Pm4MnPb2 after structural relaxation, from Alexandria.

Properties
- SG = No. 139
- magnetization (μB per formula unit) = 0.0
- E_form (eV per atom) = -0.14
- calculated total energy (eV per formula unit) = -36.568

```
7
Lattice="4.9812 0.0000 0.0000 0.0000 4.9812 0.0000 -2.4906 -2.4906 8.5812" Properties=species:S:1:pos:R:3 pbc="T T T"
Pb 2.4906 2.4906 2.4283
Pb 0.0000 0.0000 6.1528
Mn 0.0000 0.0000 0.0000
Pm 2.4906 2.4906 5.6405
Pm 0.0000 0.0000 2.9407
Pm 0.0000 2.4906 0.0000
Pm 2.4906 0.0000 0.0000
```

The following is a PBE calculation of MnPtPb2 after structural relaxation, from Alexandria.

Properties
- SG = No. 119
- relative energy among the computed polymorphs (kJ/mol of atoms) = 24.9
- magnetization (μB per formula unit) = 3.9
- E_form (eV per atom) = 0.22
- calculated total energy (eV per formula unit) = -21.763

```
4
Lattice="-1.9183 2.1310 -4.9239 -4.3282 -2.7416 -2.4930 1.1871 2.0066 5.1990" Properties=species:S:1:pos:R:3 pbc="T T T"
Mn -1.9272 1.9161 -1.7166
Pb 0.0000 0.0000 0.0000
Pb -3.1322 -0.5202 -0.5012
Pt -3.1233 -0.3053 -3.7084
```

The following is a PBE calculation of MnPt2Pb after structural relaxation, from Alexandria.

Properties
- SG = No. 65
- magnetization (μB per formula unit) = 4.2
- E_form (eV per atom) = -0.07
- calculated total energy (eV per formula unit) = -25.253

```
4
Lattice="-1.3271 -4.2640 0.4770 2.4986 0.4453 3.7053 -2.9026 1.1070 1.8249" Properties=species:S:1:pos:R:3 pbc="T T T"
Mn -2.1149 -1.5785 1.1510
Pb -0.2020 0.7762 2.7651
Pt 0.0000 0.0000 0.0000
Pt 0.5857 -1.9094 2.0912
```

The following is a PBE calculation of MnPt2Pb after structural relaxation, from Alexandria.

Properties
- SG = No. 122
- magnetization (μB per formula unit) = 3.8
- E_form (eV per atom) = 0.15
- calculated total energy (eV per formula unit) = -24.357

```
8
Lattice="4.0668 0.0000 0.0000 0.0000 4.0668 0.0000 2.0334 2.0334 9.2660" Properties=species:S:1:pos:R:3 pbc="T T T"
Pb 0.0000 0.0000 0.0000
Pb 4.0668 2.0334 4.6330
Mn 2.0334 2.0334 0.0000
Mn 2.0334 4.0668 4.6330
Pt 2.9694 1.0167 2.3165
Pt 1.0974 3.0501 2.3165
Pt 3.0501 3.1308 6.9495
Pt 5.0835 5.0028 6.9495
```